A plane-wave DFT calculation with PBE was carried out for a geometry-optimized Ag5MoCl8 structure.

Values from the calculation:
- formation energy (no corrections) (eV per atom) = -0.420
- space group = I-4, No. 82

CIF file:
```
data_Ag5MoCl8
_space_group_name_H-M_alt 'P 1'
_space_group_IT_number 1
_space_group_name_Hall 'P 1'
_cell_length_a 7.9252
_cell_length_b 7.9252
_cell_length_c 7.9252
_cell_angle_alpha 104.16
_cell_angle_beta 104.16
_cell_angle_gamma 120.71
loop_
_atom_site_label
_atom_site_type_symbol
_atom_site_fract_x
_atom_site_fract_y
_atom_site_fract_z
Ag1 Ag 0.0000 0.0000 0.0000
Ag2 Ag 0.1489 0.6769 0.0670
Ag3 Ag 0.3231 0.3901 0.4720
Ag4 Ag 0.6099 0.0819 0.9330
Ag5 Ag 0.9181 0.8511 0.5280
Mo1 Mo 0.7500 0.2500 0.5000
Cl1 Cl 0.0409 0.3628 0.1657
Cl2 Cl 0.0819 0.3218 0.6859
Cl3 Cl 0.1248 0.9591 0.3219
Cl4 Cl 0.1971 0.8752 0.8343
Cl5 Cl 0.6041 0.9181 0.2399
Cl6 Cl 0.6358 0.3959 0.3140
Cl7 Cl 0.6372 0.8029 0.6782
Cl8 Cl 0.6782 0.3642 0.7601
```